i) Ge2Te2Au | GGA-PBE | optimized geometry

Cell: 8.0249 8.0249 3.9777 Å, 90.00 90.00 90.00°
Closest atoms and distances in Å follow each position.
Element x y z (fractional)
Te: 0.1936 0.3064 0.0000  2 Ge 2.83, 2 Au 2.91
Te: 0.3064 0.8064 0.0000  2 Ge 2.83, 2 Au 2.91
Te: 0.8064 0.6936 0.0000  2 Ge 2.83, 2 Au 2.91
Te: 0.6936 0.1936 0.0000  2 Ge 2.83, 2 Au 2.91
Ge: 0.8709 0.3709 0.5000  2 Te 2.83, 1 Ge 2.93
Ge: 0.1291 0.6291 0.5000  2 Te 2.83, 1 Ge 2.93
Ge: 0.6291 0.8709 0.5000  2 Te 2.83, 1 Ge 2.93
Ge: 0.3709 0.1291 0.5000  2 Te 2.83, 1 Ge 2.93
Au: 0.5000 0.5000 0.0000  4 Te 2.91
Au: 0.0000 0.0000 0.0000  4 Te 2.91

Summary:
Density: 7.746 Mg/m³

***

ii) Ge2Te2Au | GGA-PBE | optimized geometry

Cell: 6.0356 8.5711 7.8271 Å, 131.57 90.00 110.62°
Closest atoms and distances in Å follow each position.
Element x y z (fractional)
Ge: 0.7150 0.2192 0.6053  2 Au 2.64-2.73, 2 Te 2.74-2.76, 1 Ge 2.91
Ge: 0.2850 0.7808 0.3947  2 Au 2.64-2.73, 2 Te 2.74-2.76, 1 Ge 2.91
Ge: 0.4959 0.7808 0.8947  2 Au 2.64-2.73, 2 Te 2.74-2.76, 1 Ge 2.91
Ge: 0.5041 0.2192 0.1053  2 Au 2.64-2.73, 2 Te 2.74-2.76, 1 Ge 2.91
Te: 0.2066 0.3331 0.9854  2 Ge 2.74-2.76, 1 Au 2.85
Te: 0.1265 0.3331 0.4854  2 Ge 2.74-2.76, 1 Au 2.85
Te: 0.7934 0.6669 0.0146  2 Ge 2.74-2.76, 1 Au 2.85
Te: 0.8735 0.6669 0.5146  2 Ge 2.74-2.76, 1 Au 2.85
Au: 0.6855 0.0000 0.7500  4 Ge 2.64-2.73, 2 Te 2.85
Au: 0.3145 0.0000 0.2500  4 Ge 2.64-2.73, 2 Te 2.85

Summary:
Density: 7.423 Mg/m³

***

Quick one: most stable of them? ii)

***

i) Ge2Te2Au | GGA-PBE | optimized geometry

Cell: 7.8238 7.8238 4.0543 Å, 90.00 90.00 90.00°
Closest atoms and distances in Å follow each position.
Element x y z (fractional)
Te: 0.1694 0.6694 0.5000  2 Ge 2.79
Te: 0.8306 0.3306 0.5000  2 Ge 2.79
Te: 0.6694 0.8306 0.5000  2 Ge 2.79
Te: 0.3306 0.1694 0.5000  2 Ge 2.79
Au: 0.5000 0.5000 0.0000  4 Ge 2.95
Au: 0.0000 0.0000 0.0000  4 Ge 2.95
Ge: 0.1573 0.3427 0.0000  2 Te 2.79, 2 Au 2.95
Ge: 0.6573 0.1573 0.0000  2 Te 2.79, 2 Au 2.95
Ge: 0.3427 0.8427 0.0000  2 Te 2.79, 2 Au 2.95
Ge: 0.8427 0.6573 0.0000  2 Te 2.79, 2 Au 2.95

Summary:
Density: 7.995 Mg/m³

***

ii) Ge2Te2Au | GGA-PBE | optimized geometry

Cell: 5.6631 5.6631 5.6414 Å, 59.87 59.87 90.00°
Closest atoms and distances in Å follow each position.
Element x y z (fractional)
Te: 0.7500 0.2500 0.5000  4 Ge 2.90
Te: 0.2500 0.7500 0.5000  4 Ge 2.90
Ge: 0.3306 0.3306 0.3388  1 Au 2.63, 1 Ge 2.69, 4 Te 2.90
Ge: 0.6694 0.6694 0.6612  1 Au 2.63, 1 Ge 2.69, 4 Te 2.90
Au: 0.0000 0.0000 0.0000  2 Ge 2.63

Summary:
Density: 7.785 Mg/m³

***

Quick one: most stable of them? ii)

***

i) Th2Ge2Au3 | GGA-PBE | optimized geometry

Cell: 4.4057 5.7437 6.9994 Å, 107.47 90.00 112.55°
Closest atoms and distances in Å follow each position.
Element x y z (fractional)
Ge: 0.8474 0.6948 0.7681  5 Au 2.72-2.90
Ge: 0.1526 0.3052 0.2319  5 Au 2.72-2.90
Au: 0.6073 0.2146 0.4288  3 Ge 2.72-2.86, 2 Au 2.77-2.84
Au: 0.5000 0.0000 0.0000  2 Au 2.84, 4 Ge 2.90
Au: 0.3927 0.7854 0.5712  3 Ge 2.72-2.86, 2 Au 2.77-2.84
Th: 0.8558 0.7115 0.2315  4 Ge 3.08-3.22, 7 Au 3.17-3.39
Th: 0.1442 0.2885 0.7685  4 Ge 3.08-3.22, 7 Au 3.17-3.39

Summary:
Density: 12.884 Mg/m³

***

ii) Th2Ge2Au3 | GGA-PBE | optimized geometry

Cell: 4.3712 5.9876 6.4677 Å, 95.66 90.00 111.41°
Closest atoms and distances in Å follow each position.
Element x y z (fractional)
Th: 0.6295 0.2590 0.3194  5 Ge 3.12-3.27, 6 Au 3.15-3.41
Th: 0.3705 0.7410 0.6806  5 Ge 3.12-3.27, 6 Au 3.15-3.41
Ge: 0.0862 0.1725 0.6488  3 Au 2.56-2.77, 1 Ge 2.57
Ge: 0.9138 0.8275 0.3512  3 Au 2.56-2.77, 1 Ge 2.57
Au: 0.2990 0.5981 0.1555  2 Ge 2.77, 2 Au 3.09
Au: 0.0000 0.0000 0.0000  2 Ge 2.56
Au: 0.7010 0.4019 0.8445  2 Ge 2.77, 2 Au 3.09

Summary:
Density: 12.718 Mg/m³

***

Quick one: most stable of them? i)

***

i) TmThGeAu | GGA-PBE | optimized geometry

Cell: 4.1605 4.3178 5.9081 Å, 90.00 110.62 90.00°
Closest atoms and distances in Å follow each position.
Element x y z (fractional)
Th: 0.1410 0.0000 0.2820  3 Au 3.01-3.26, 4 Ge 3.07
Ge: 0.5821 0.5000 0.1642  2 Au 2.85, 4 Th 3.07, 3 Tm 3.11-3.19
Tm: 0.8634 0.5000 0.7267  4 Au 3.05, 3 Ge 3.11-3.19
Au: 0.4135 0.0000 0.8271  2 Ge 2.85, 1 Th 3.01, 4 Tm 3.05

Summary:
Density: 11.210 Mg/m³

***

ii) TmThGeAu | GGA-PBE | optimized geometry

Cell: 5.1463 5.1463 5.1463 Å, 60.00 60.00 60.00°
Closest atoms and distances in Å follow each position.
Element x y z (fractional)
Tm: 0.5000 0.5000 0.5000  4 Ge 3.15, 4 Au 3.15
Au: 0.7500 0.7500 0.7500  4 Th 3.15, 4 Tm 3.15
Th: 0.0000 0.0000 0.0000  4 Au 3.15, 4 Ge 3.15
Ge: 0.2500 0.2500 0.2500  4 Th 3.15, 4 Tm 3.15

Summary:
Density: 11.554 Mg/m³

***

Quick one: most stable of them? i)

***

i) YThGeAu | GGA-PBE | optimized geometry

Cell: 4.1928 4.3624 5.9172 Å, 90.00 110.75 90.00°
Closest atoms and distances in Å follow each position.
Element x y z (fractional)
Ge: 0.5831 0.5000 0.1663  2 Au 2.87, 1 Y 3.09, 4 Th 3.09
Au: 0.4149 0.0000 0.8298  2 Ge 2.87, 1 Th 3.04, 4 Y 3.08
Y: 0.8621 0.5000 0.7242  4 Au 3.08, 3 Ge 3.09-3.22
Th: 0.1398 0.0000 0.2797  3 Au 3.04-3.25, 4 Ge 3.09

Summary:
Density: 9.689 Mg/m³

***

ii) YThGeAu | GGA-PBE | optimized geometry

Cell: 5.1790 5.1790 5.1790 Å, 60.00 60.00 60.00°
Closest atoms and distances in Å follow each position.
Element x y z (fractional)
Th: 0.5000 0.5000 0.5000  4 Ge 3.17, 4 Au 3.17
Y: 0.0000 0.0000 0.0000  4 Au 3.17, 4 Ge 3.17
Au: 0.7500 0.7500 0.7500  4 Y 3.17, 4 Th 3.17
Ge: 0.2500 0.2500 0.2500  4 Y 3.17, 4 Th 3.17

Summary:
Density: 9.984 Mg/m³

***

Quick one: most stable of them? i)

***

i) TiGe2Au | GGA-PBE | optimized geometry

Cell: 3.6631 4.2923 4.2923 Å, 90.00 90.00 90.00°
Closest atoms and distances in Å follow each position.
Element x y z (fractional)
Au: 0.5000 0.5000 0.5000  8 Ge 2.82, 4 Ti 3.04
Ge: 0.0000 0.5000 0.0000  4 Au 2.82, 4 Ti 2.82, 4 Ge 3.04
Ge: 0.0000 0.0000 0.5000  4 Ti 2.82, 4 Au 2.82, 4 Ge 3.04
Ti: 0.5000 0.0000 0.0000  8 Ge 2.82, 4 Au 3.04

Summary:
Density: 9.599 Mg/m³

***

ii) TiGe2Au | GGA-PBE | optimized geometry

Cell: 4.0168 4.0168 5.8275 Å, 69.84 69.84 60.00°
Closest atoms and distances in Å follow each position.
Element x y z (fractional)
Ge: 0.2515 0.2515 0.2455  3 Ti 2.73, 3 Au 2.74, 1 Ge 2.76
Ge: 0.0797 0.0797 0.7609  3 Ti 2.59, 3 Au 2.66, 1 Ge 2.76
Ti: 0.6751 0.6751 0.9748  6 Ge 2.59-2.73
Au: 0.4938 0.4938 0.5187  6 Ge 2.66-2.74, 1 Ti 2.91

Summary:
Density: 8.672 Mg/m³

***

Quick one: most stable of them? i)

***

i) Ti3GeAu | GGA-PBE | optimized geometry

Cell: 4.6632 4.6632 4.6632 Å, 90.00 90.00 90.00°
Closest atoms and distances in Å follow each position.
Element x y z (fractional)
Au: 0.5000 0.5000 0.5000  12 Ti 3.30
Ti: 0.5000 0.0000 0.0000  2 Ge 2.33
Ti: 0.0000 0.0000 0.5000  2 Ge 2.33
Ti: 0.0000 0.5000 0.0000  2 Ge 2.33
Ge: 0.0000 0.0000 0.0000  6 Ti 2.33

Summary:
Density: 6.766 Mg/m³

***

ii) Ti3GeAu | GGA-PBE | optimized geometry

Cell: 4.8574 4.8574 4.8574 Å, 90.00 90.00 90.00°
Closest atoms and distances in Å follow each position.
Element x y z (fractional)
Au: 0.0000 0.0000 0.0000  6 Ti 2.43
Ti: 0.5000 0.0000 0.0000  2 Au 2.43
Ti: 0.0000 0.0000 0.5000  2 Au 2.43
Ti: 0.0000 0.5000 0.0000  2 Au 2.43
Ge: 0.5000 0.5000 0.5000  12 Ti 3.43

Summary:
Density: 5.987 Mg/m³

***

Quick one: most stable of them? i)

***

i) Ti2GeAu2 | GGA-PBE | optimized geometry

Cell: 7.5508 7.5508 3.1795 Å, 90.00 90.00 90.00°
Closest atoms and distances in Å follow each position.
Element x y z (fractional)
Ti: 0.1673 0.6673 0.5000  6 Au 2.68-2.77
Ti: 0.8327 0.3327 0.5000  6 Au 2.68-2.77
Ti: 0.3327 0.1673 0.5000  6 Au 2.68-2.77
Ti: 0.6673 0.8327 0.5000  6 Au 2.68-2.77
Au: 0.8696 0.6304 0.0000  6 Ti 2.68-2.77, 1 Au 2.79, 2 Ge 2.96
Au: 0.6304 0.1304 0.0000  6 Ti 2.68-2.77, 1 Au 2.79, 2 Ge 2.96
Au: 0.3696 0.8696 0.0000  6 Ti 2.68-2.77, 1 Au 2.79, 2 Ge 2.96
Au: 0.1304 0.3696 0.0000  6 Ti 2.68-2.77, 1 Au 2.79, 2 Ge 2.96
Ge: 0.5000 0.5000 0.0000  4 Au 2.96, 2 Ge 3.18, 8 Ti 3.23
Ge: 0.0000 0.0000 0.0000  4 Au 2.96, 2 Ge 3.18, 8 Ti 3.23

Summary:
Density: 10.302 Mg/m³

***

ii) Ti2GeAu2 | GGA-PBE | optimized geometry

Cell: 6.8999 6.8999 3.8607 Å, 90.00 90.00 90.00°
Closest atoms and distances in Å follow each position.
Element x y z (fractional)
Ge: 0.5000 0.5000 0.0000  4 Ti 2.61
Ge: 0.0000 0.0000 0.0000  4 Ti 2.61
Au: 0.8566 0.3566 0.5000  6 Ti 2.75-2.83, 1 Au 2.80
Au: 0.1434 0.6434 0.5000  6 Ti 2.75-2.83, 1 Au 2.80
Au: 0.3566 0.1434 0.5000  6 Ti 2.75-2.83, 1 Au 2.80
Au: 0.6434 0.8566 0.5000  6 Ti 2.75-2.83, 1 Au 2.80
Ti: 0.6558 0.1558 0.0000  2 Ge 2.61, 6 Au 2.75-2.83
Ti: 0.1558 0.3442 0.0000  2 Ge 2.61, 6 Au 2.75-2.83
Ti: 0.8442 0.6558 0.0000  2 Ge 2.61, 6 Au 2.75-2.83
Ti: 0.3442 0.8442 0.0000  2 Ge 2.61, 6 Au 2.75-2.83

Summary:
Density: 10.160 Mg/m³

***

iii) Ti2GeAu2 | GGA-PBE | optimized geometry

Cell: 3.7502 3.7502 7.3295 Å, 75.18 75.18 90.00°
Closest atoms and distances in Å follow each position.
Element x y z (fractional)
Ti: 0.7500 0.2500 0.5000  4 Ti 2.65, 4 Au 2.76
Ti: 0.2500 0.7500 0.5000  4 Ti 2.65, 4 Au 2.76
Au: 0.3977 0.3977 0.2046  4 Ti 2.76, 1 Au 2.80, 4 Ge 3.00
Au: 0.6023 0.6023 0.7954  4 Ti 2.76, 1 Au 2.80, 4 Ge 3.00
Ge: 0.0000 0.0000 0.0000  8 Au 3.00

Summary:
Density: 9.716 Mg/m³

***

Quick one: most stable of them? ii)

***

i) Ti2Ge2Au | GGA-PBE | optimized geometry

Cell: 7.2039 7.2039 3.3744 Å, 90.00 90.00 90.00°
Closest atoms and distances in Å follow each position.
Element x y z (fractional)
Ti: 0.3725 0.8725 0.0000  1 Ti 2.60, 6 Ge 2.62-2.78, 2 Au 2.84
Ti: 0.8725 0.6275 0.0000  1 Ti 2.60, 6 Ge 2.62-2.78, 2 Au 2.84
Ti: 0.6275 0.1275 0.0000  1 Ti 2.60, 6 Ge 2.62-2.78, 2 Au 2.84
Ti: 0.1275 0.3725 0.0000  1 Ti 2.60, 6 Ge 2.62-2.78, 2 Au 2.84
Au: 0.0000 0.0000 0.0000  4 Ti 2.84, 8 Ge 3.15
Au: 0.5000 0.5000 0.0000  4 Ti 2.84, 8 Ge 3.15
Ge: 0.1755 0.6755 0.5000  6 Ti 2.62-2.78
Ge: 0.6755 0.8245 0.5000  6 Ti 2.62-2.78
Ge: 0.8245 0.3245 0.5000  6 Ti 2.62-2.78
Ge: 0.3245 0.1755 0.5000  6 Ti 2.62-2.78

Summary:
Density: 8.306 Mg/m³

***

ii) Ti2Ge2Au | GGA-PBE | optimized geometry

Cell: 6.7286 6.7286 3.6536 Å, 90.00 90.00 90.00°
Closest atoms and distances in Å follow each position.
Element x y z (fractional)
Ti: 0.1740 0.6740 0.5000  6 Ge 2.62-2.75
Ti: 0.8260 0.3260 0.5000  6 Ge 2.62-2.75
Ti: 0.6740 0.8260 0.5000  6 Ge 2.62-2.75
Ti: 0.3260 0.1740 0.5000  6 Ge 2.62-2.75
Au: 0.0000 0.0000 0.0000  4 Ge 2.64
Au: 0.5000 0.5000 0.0000  4 Ge 2.64
Ge: 0.6292 0.1292 0.0000  1 Ge 2.46, 2 Ti 2.62, 2 Au 2.64
Ge: 0.1292 0.3708 0.0000  1 Ge 2.46, 2 Ti 2.62, 2 Au 2.64
Ge: 0.8708 0.6292 0.0000  1 Ge 2.46, 2 Ti 2.62, 2 Au 2.64
Ge: 0.3708 0.8708 0.0000  1 Ge 2.46, 2 Ti 2.62, 2 Au 2.64

Summary:
Density: 8.793 Mg/m³

***

Quick one: most stable of them? ii)

***

i) Tl2GeAu | GGA-PBE | optimized geometry

Cell: 5.1491 5.1491 5.1491 Å, 60.00 60.00 60.00°
Closest atoms and distances in Å follow each position.
Element x y z (fractional)
Ge: 0.0000 0.0000 0.0000  8 Tl 3.15
Au: 0.5000 0.5000 0.5000  8 Tl 3.15
Tl: 0.7500 0.7500 0.7500  4 Ge 3.15, 4 Au 3.15
Tl: 0.2500 0.2500 0.2500  4 Ge 3.15, 4 Au 3.15

Summary:
Density: 11.669 Mg/m³

***

ii) Tl2GeAu | GGA-PBE | optimized geometry

Cell: 4.3410 4.3410 11.1777 Å, 78.80 78.80 90.00°
Closest atoms and distances in Å follow each position.
Element x y z (fractional)
Au: 0.0000 0.0000 0.0000  4 Ge 3.07, 4 Tl 3.09
Au: 0.7500 0.2500 0.5000  4 Ge 3.07, 4 Tl 3.09
Tl: 0.8750 0.8768 0.7500  4 Tl 3.06-3.08, 2 Au 3.09, 2 Ge 3.10
Tl: 0.6268 0.1250 0.2500  4 Tl 3.06-3.08, 2 Au 3.09, 2 Ge 3.10
Tl: 0.1232 0.6250 0.2500  4 Tl 3.06-3.08, 2 Au 3.09, 2 Ge 3.10
Tl: 0.3750 0.3732 0.7500  4 Tl 3.06-3.08, 2 Au 3.09, 2 Ge 3.10
Ge: 0.2500 0.7500 0.5000  4 Au 3.07, 4 Tl 3.10
Ge: 0.5000 0.5000 0.0000  4 Au 3.07, 4 Tl 3.10

Summary:
Density: 11.124 Mg/m³

***

iii) Tl2GeAu | GGA-PBE | optimized geometry

Cell: 4.3800 4.3806 7.2086 Å, 72.46 72.31 60.00°
Closest atoms and distances in Å follow each position.
Element x y z (fractional)
Au: 0.1484 0.9107 0.7926  3 Ge 2.57
Tl: 0.6973 0.4610 0.1445  3 Ge 3.17, 3 Au 3.47
Tl: 0.9063 0.6691 0.5184  3 Au 3.13-3.14, 3 Ge 3.43-3.44
Ge: 0.4584 0.2212 0.8620  3 Au 2.57

Summary:
Density: 10.036 Mg/m³

***

Quick one: most stable of them? iii)

***

i) Tl3GeAu | GGA-PBE | optimized geometry

Cell: 5.5039 5.5039 5.5039 Å, 90.00 90.00 90.00°
Closest atoms and distances in Å follow each position.
Element x y z (fractional)
Tl: 0.0000 0.0000 0.5000  2 Au 2.75
Tl: 0.0000 0.5000 0.0000  2 Au 2.75
Tl: 0.5000 0.0000 0.0000  2 Au 2.75
Ge: 0.5000 0.5000 0.5000  12 Tl 3.89
Au: 0.0000 0.0000 0.0000  6 Tl 2.75

Summary:
Density: 8.792 Mg/m³

***

ii) Tl3GeAu | GGA-PBE | optimized geometry

Cell: 5.5600 5.5600 5.5600 Å, 90.00 90.00 90.00°
Closest atoms and distances in Å follow each position.
Element x y z (fractional)
Tl: 0.0000 0.5000 0.0000  2 Ge 2.78
Tl: 0.5000 0.0000 0.0000  2 Ge 2.78
Tl: 0.0000 0.0000 0.5000  2 Ge 2.78
Ge: 0.0000 0.0000 0.0000  6 Tl 2.78
Au: 0.5000 0.5000 0.5000  12 Tl 3.93

Summary:
Density: 8.528 Mg/m³

***

Quick one: most stable of them? ii)

***

i) TmGe2Au | GGA-PBE | optimized geometry

Cell: 4.0998 4.3737 4.3737 Å, 90.00 90.00 90.00°
Closest atoms and distances in Å follow each position.
Element x y z (fractional)
Tm: 0.5000 0.5000 0.5000  8 Ge 3.00, 4 Au 3.09
Ge: 0.0000 0.5000 0.0000  4 Tm 3.00, 4 Au 3.00, 4 Ge 3.09
Ge: 0.0000 0.0000 0.5000  4 Tm 3.00, 4 Au 3.00, 4 Ge 3.09
Au: 0.5000 0.0000 0.0000  8 Ge 3.00, 4 Tm 3.09

Summary:
Density: 10.823 Mg/m³

***

ii) TmGe2Au | GGA-PBE | optimized geometry

Cell: 3.3242 3.3242 9.0078 Å, 79.37 79.37 60.00°
Closest atoms and distances in Å follow each position.
Element x y z (fractional)
Ge: 0.7412 0.7412 0.7763  3 Au 2.75
Ge: 0.2588 0.2588 0.2237  3 Au 2.75
Au: 0.0000 0.0000 0.0000  6 Ge 2.75
Tm: 0.5000 0.5000 0.5000  6 Ge 3.10, 6 Tm 3.32

Summary:
Density: 10.078 Mg/m³

***

Quick one: most stable of them? i)